First-principles (PBE-GGA) data for an optimized crystal structure of NpPa2S5, as listed in Alexandria via LeMat-Bulk.

Output
- SG: Pnma, No. 62
- Final energy: -260.54 eV/cell
- ΔE_f (raw): -1.571 eV per atom
- D(E_F): 1.810 states/eV/atom

Cell lengths 11.7297, 7.8147, 7.3183 Å; angles 90.00, 90.00, 90.00 degrees
Last column: nearest neighbours and their distance in Å.
Positions (direct):
Np1 0.0047 0.2500 0.0774  7 S 2.66-2.85
Np2 0.4953 0.7500 0.5774  7 S 2.66-2.85
Np3 0.5047 0.2500 0.4226  7 S 2.66-2.85
Np4 0.9953 0.7500 0.9226  7 S 2.66-2.85
Pa1 0.1795 0.0012 0.5182  8 S 2.76-2.98
Pa2 0.1795 0.4988 0.5182  8 S 2.76-2.98
Pa3 0.3205 0.5012 0.0182  8 S 2.76-2.98
Pa4 0.3205 0.9988 0.0182  8 S 2.76-2.98
Pa5 0.6795 0.0012 0.9818  8 S 2.76-2.98
Pa6 0.6795 0.4988 0.9818  8 S 2.76-2.98
Pa7 0.8205 0.5012 0.4818  8 S 2.76-2.98
Pa8 0.8205 0.9988 0.4818  8 S 2.76-2.98
S1 0.0006 0.2500 0.4671  1 Np 2.85, 4 Pa 2.89, 1 S 3.19
S2 0.1019 0.5455 0.1664  2 Np 2.66-2.70, 2 Pa 2.76-2.81
S3 0.1019 0.9545 0.1664  2 Np 2.66-2.70, 2 Pa 2.76-2.81
S4 0.1869 0.2500 0.8265  1 Np 2.82, 4 Pa 2.88-2.98
S5 0.2168 0.7500 0.7950  1 Np 2.76, 4 Pa 2.82-2.85
S6 0.2832 0.2500 0.2950  1 Np 2.76, 4 Pa 2.82-2.85
S7 0.3131 0.7500 0.3265  1 Np 2.82, 4 Pa 2.88-2.98
S8 0.3981 0.0455 0.6664  2 Np 2.66-2.70, 2 Pa 2.76-2.81
S9 0.3981 0.4545 0.6664  2 Np 2.66-2.70, 2 Pa 2.76-2.81
S10 0.4994 0.7500 0.9671  1 Np 2.85, 4 Pa 2.89, 1 S 3.19
S11 0.5006 0.2500 0.0329  1 Np 2.85, 4 Pa 2.89, 1 S 3.19
S12 0.6019 0.5455 0.3336  2 Np 2.66-2.70, 2 Pa 2.76-2.81
S13 0.6019 0.9545 0.3336  2 Np 2.66-2.70, 2 Pa 2.76-2.81
S14 0.6869 0.2500 0.6735  1 Np 2.82, 4 Pa 2.88-2.98
S15 0.7168 0.7500 0.7050  1 Np 2.76, 4 Pa 2.82-2.85
S16 0.7832 0.2500 0.2050  1 Np 2.76, 4 Pa 2.82-2.85
S17 0.8131 0.7500 0.1735  1 Np 2.82, 4 Pa 2.88-2.98
S18 0.8981 0.0455 0.8336  2 Np 2.66-2.70, 2 Pa 2.76-2.81
S19 0.8981 0.4545 0.8336  2 Np 2.66-2.70, 2 Pa 2.76-2.81
S20 0.9994 0.7500 0.5329  1 Np 2.85, 4 Pa 2.89, 1 S 3.19